# 1
# Hf6Co3N (GGA-PBE, relaxed)
# - Calculated total energy: -0.69587 Ry/atom
data_Hf6Co3N
_space_group_name_H-M_alt 'P 1 21/c 1'
_space_group_IT_number 14
_space_group_name_Hall '-P 2ybc'
_cell_length_a 5.7462
_cell_length_b 6.6254
_cell_length_c 10.2582
_cell_angle_alpha 90.00
_cell_angle_beta 120.49
_cell_angle_gamma 90.00
loop_
_atom_site_label
_atom_site_type_symbol
_atom_site_fract_x
_atom_site_fract_y
_atom_site_fract_z
_atom_site_occupancy
Hf1 Hf 0.0831 0.0458 0.2393 1
Hf2 Hf 0.2121 0.6929 0.0700 1
Hf3 Hf 0.3844 0.1616 0.0607 1
Co1 Co 0.3154 0.1129 0.7464 1
Co2 Co 0.5000 0.0000 0.5000 1
N1 N 0.0000 0.0000 0.0000 1

# 2
# HfCo3N (GGA-PBE, relaxed)
# - Calculated total energy: -0.39639 Ry/atom
data_HfCo3N
_space_group_name_H-M_alt 'P m -3 m'
_space_group_IT_number 221
_space_group_name_Hall '-P 4 2 3'
_cell_length_a 4.5675
_cell_length_b 4.5675
_cell_length_c 4.5675
_cell_angle_alpha 90.00
_cell_angle_beta 90.00
_cell_angle_gamma 90.00
loop_
_atom_site_label
_atom_site_type_symbol
_atom_site_fract_x
_atom_site_fract_y
_atom_site_fract_z
_atom_site_occupancy
Hf1 Hf 0.0000 0.0000 0.0000 1
Co1 Co 0.0000 0.0000 0.5000 1
N1 N 0.5000 0.5000 0.5000 1

# 3
# Hf2CoN (GGA-PBE, relaxed)
# - Calculated total energy: -0.71369 Ry/atom
data_Hf2CoN
_space_group_name_H-M_alt 'R -3 m'
_space_group_IT_number 166
_space_group_name_Hall '-R 3 2"'
_cell_length_a 3.1748
_cell_length_b 3.1748
_cell_length_c 19.5683
_cell_angle_alpha 90.00
_cell_angle_beta 90.00
_cell_angle_gamma 120.00
loop_
_atom_site_label
_atom_site_type_symbol
_atom_site_fract_x
_atom_site_fract_y
_atom_site_fract_z
_atom_site_occupancy
Hf1 Hf 0.0000 0.0000 0.2356 1
Co1 Co 0.0000 0.0000 0.0000 1
N1 N 0.0000 0.0000 0.5000 1

# 4
# HfCoN2 (GGA-PBE, relaxed)
# - Calculated total energy: -0.60100 Ry/atom
data_HfCoN2
_space_group_name_H-M_alt 'R -3 m'
_space_group_IT_number 166
_space_group_name_Hall '-R 3 2"'
_cell_length_a 3.0973
_cell_length_b 3.0973
_cell_length_c 17.3157
_cell_angle_alpha 90.00
_cell_angle_beta 90.00
_cell_angle_gamma 120.00
loop_
_atom_site_label
_atom_site_type_symbol
_atom_site_fract_x
_atom_site_fract_y
_atom_site_fract_z
_atom_site_occupancy
Hf1 Hf 0.0000 0.0000 0.0000 1
Co1 Co 0.0000 0.0000 0.5000 1
N1 N 0.0000 0.0000 0.1182 1

# 5
# Hf4CoN (GGA-PBE, relaxed)
# - Calculated total energy: -0.72314 Ry/atom
data_Hf4CoN
_space_group_name_H-M_alt 'C 1 2/c 1'
_space_group_IT_number 15
_space_group_name_Hall '-C 2yc'
_cell_length_a 7.0521
_cell_length_b 12.6915
_cell_length_c 5.6131
_cell_angle_alpha 90.00
_cell_angle_beta 124.48
_cell_angle_gamma 90.00
loop_
_atom_site_label
_atom_site_type_symbol
_atom_site_fract_x
_atom_site_fract_y
_atom_site_fract_z
_atom_site_occupancy
Hf1 Hf 0.1606 0.2037 0.1713 1
Hf2 Hf 0.2482 0.0497 0.7222 1
Co1 Co 0.0000 0.3867 0.7500 1
N1 N 0.0000 0.0585 0.2500 1

# 6
# Hf6CoN2 (GGA-PBE, relaxed)
# - Calculated total energy: -0.73543 Ry/atom
data_Hf6CoN2
_space_group_name_H-M_alt 'C 1 2/m 1'
_space_group_IT_number 12
_space_group_name_Hall '-C 2y'
_cell_length_a 10.6884
_cell_length_b 4.3667
_cell_length_c 7.4480
_cell_angle_alpha 90.00
_cell_angle_beta 117.33
_cell_angle_gamma 90.00
loop_
_atom_site_label
_atom_site_type_symbol
_atom_site_fract_x
_atom_site_fract_y
_atom_site_fract_z
_atom_site_occupancy
Hf1 Hf 0.0224 0.0000 0.2040 1
Hf2 Hf 0.1589 0.5000 0.5652 1
Hf3 Hf 0.1909 0.5000 0.0865 1
Co1 Co 0.0000 0.0000 0.5000 1
N1 N 0.1839 0.0000 0.0862 1

# 7
# HfCoN2 (GGA-PBE, relaxed)
# - Calculated total energy: -0.66512 Ry/atom
data_HfCoN2
_space_group_name_H-M_alt 'I -4 2 d'
_space_group_IT_number 122
_space_group_name_Hall 'I -4 2bw'
_cell_length_a 4.4544
_cell_length_b 4.4544
_cell_length_c 9.8075
_cell_angle_alpha 90.00
_cell_angle_beta 90.00
_cell_angle_gamma 90.00
loop_
_atom_site_label
_atom_site_type_symbol
_atom_site_fract_x
_atom_site_fract_y
_atom_site_fract_z
_atom_site_occupancy
Hf1 Hf 0.0000 0.0000 0.0000 1
Co1 Co 0.0000 0.0000 0.5000 1
N1 N 0.2191 0.2500 0.6250 1

# 8
# HfCoN3 (GGA-PBE, relaxed)
# - Calculated total energy: -0.53836 Ry/atom
data_HfCoN3
_space_group_name_H-M_alt 'P m -3 m'
_space_group_IT_number 221
_space_group_name_Hall '-P 4 2 3'
_cell_length_a 4.1091
_cell_length_b 4.1091
_cell_length_c 4.1091
_cell_angle_alpha 90.00
_cell_angle_beta 90.00
_cell_angle_gamma 90.00
loop_
_atom_site_label
_atom_site_type_symbol
_atom_site_fract_x
_atom_site_fract_y
_atom_site_fract_z
_atom_site_occupancy
Hf1 Hf 0.0000 0.0000 0.0000 1
Co1 Co 0.5000 0.5000 0.5000 1
N1 N 0.0000 0.0000 0.5000 1

Asked for mass density across the records above, the calculation gives 12.5, 6.4, 12.5, 9.2, 12.6, 12.5, 9.1, 6.7 Mg/m³ in order.
Asked for energy relative to the elements, uncorrected across the records above, the calculation gives -0.531, 2.526, -0.876, 0.251, -0.631, -0.731, -0.622, 1.082 eV per atom in order.